Record 1
DFT (PBE-GGA) results for LiPm2Ni3Sb4 after structural relaxation.

Results
Formation energy (no corrections) ... -653 meV per atom

a b c (Å): 4.4697 4.4697 10.2547
angles (deg): 90.00 90.00 90.00
Element x y z (fractional)
Sb 0.0000 0.5000 0.3665
Pm 0.0000 0.5000 0.7470
Sb 0.5000 0.0000 0.6335
Sb 0.5000 0.5000 0.0000
Li 0.5000 0.5000 0.5000
Ni 0.5000 0.0000 0.8781
Ni 0.0000 0.5000 0.1219
Ni 0.0000 0.0000 0.5000
Sb 0.0000 0.0000 0.0000
Pm 0.5000 0.0000 0.2530

Record 2
DFT (PBE-GGA) results for CrTc2Pt after structural relaxation.

Results
Formation energy from the elements ... 10.47 kJ/mol of atoms
ΔE to the lowest computed polymorph ... 206 meV per atom

a b c (Å): 3.2202 3.2202 5.6168
angles (deg): 90.00 90.00 90.00
Site moments in Bohr magnetons follow the coordinates.
Element x y z (fractional)
Tc 0.0000 0.0000 0.0134  -0.20
Tc 0.5000 0.5000 0.2494  -0.23
Cr 0.0000 0.0000 0.5063  1.90
Pt 0.5000 0.5000 0.7308  -0.03

Record 3
DFT (PBE-GGA) results for Sr2LiTeRh after structural relaxation.

Results
Formation energy (no corrections) ... -568 meV per atom

a b c (Å): 5.7079 5.7079 4.7150
angles (deg): 90.00 90.00 90.00
Element x y z (fractional)
Te 0.5000 0.5000 0.5000
Rh 0.0000 0.0000 0.0000
Li 0.0000 0.0000 0.5000
Sr 0.0000 0.5000 0.0000
Sr 0.5000 0.0000 0.0000

Record 4
DFT (PBE-GGA) results for Pm3Y2TmS6 after structural relaxation.

Results
Formation energy (no corrections) ... -2012 meV per atom

a b c (Å): 6.8379 6.8379 6.9180
angles (deg): 99.46 99.46 120.17
Element x y z (fractional)
Pm 0.1690 0.8310 0.5000
S 0.9215 0.5928 0.7643
S 0.5928 0.9215 0.7643
S 0.0785 0.4072 0.2357
Tm 0.0000 0.0000 0.0000
S 0.7503 0.7503 0.2376
S 0.2497 0.2497 0.7624
S 0.4072 0.0785 0.2357
Y 0.6669 0.3331 0.0000
Pm 0.8310 0.1690 0.5000
Pm 0.5000 0.5000 0.5000
Y 0.3331 0.6669 0.0000

Record 5
DFT (PBE-GGA) results for PSe2F5 after structural relaxation.

Results
Formation energy (no corrections) ... -1833 meV per atom

a b c (Å): 4.2623 6.5077 7.0785
angles (deg): 87.77 72.50 82.58
Element x y z (fractional)
Se 0.2743 0.5178 0.4138
F 0.0840 0.2358 0.0004
F 0.7746 0.0239 0.2092
F 0.4011 0.9287 0.9999
F 0.9796 0.7564 0.9998
P 0.0378 0.9948 0.0000
F 0.9834 0.0244 0.7909
Se 0.6881 0.5182 0.5860

Record 6
DFT (PBE-GGA) results for Ac4InAu3 after structural relaxation.

Results
Formation energy from the elements ... -66.25 kJ/mol of atoms

a b c (Å): 4.2651 5.0007 12.0286
angles (deg): 90.00 90.00 90.00
Element x y z (fractional)
Au 0.0000 0.0000 0.4182
Ac 0.5000 0.5000 0.3700
Au 0.0000 0.5000 0.5856
In 0.5000 0.5000 0.0783
Ac 0.0000 0.0000 0.1458
Ac 0.0000 0.5000 0.8550
Au 0.5000 0.0000 0.9122
Ac 0.5000 0.0000 0.6348

Result set for E_tot: -5.18 -8.99 -3.72 -6.71 -4.55 -4.31 eV/atom, one per record in the order listed.
Result set for spin magnetization: 0.0 1.5 0.0 0.0 0.0 0.0 μB per cell, one per record in the order listed.